No. 1
The following is a PBE-GGA calculation of LaNiCl after structural relaxation, from the Alexandria database.

Cell and atoms, written as CIF:
```
data_LaNiCl
_chemical_formula_sum 'La1 Ni1 Cl1'
_symmetry_space_group_name_H-M 'P -6 m 2'
_symmetry_Int_Tables_number 187
_symmetry_space_group_name_Hall 'P -6 2'
_cell_length_a 4.5032
_cell_length_b 4.5032
_cell_length_c 3.4787
_cell_angle_alpha 90.00
_cell_angle_beta 90.00
_cell_angle_gamma 120.00
loop_
_atom_site_label
_atom_site_type_symbol
_atom_site_fract_x
_atom_site_fract_y
_atom_site_fract_z
La1 La 0.0000 0.0000 0.0000
Ni1 Ni 0.6667 0.3333 0.5000
Cl1 Cl 0.3333 0.6667 0.5000
```

Values from the calculation:
- Final energy: -4.820 eV per atom
- Formation energy (no corrections): -0.63 eV per atom
- Magnetic moment: 0.00 μB per formula unit


No. 2
The following is a PBE-GGA calculation of TbTm2Ni after structural relaxation, from the Alexandria database.

Cell and atoms, written as CIF:
```
data_TbTm2Ni
_chemical_formula_sum 'Tb4 Tm8 Ni4'
_symmetry_space_group_name_H-M 'P n m a'
_symmetry_Int_Tables_number 62
_cell_length_a 6.801
_cell_length_b 9.458
_cell_length_c 6.275
_cell_angle_alpha 90.00
_cell_angle_beta 90.00
_cell_angle_gamma 90.00
loop_
_symmetry_equiv_pos_as_xyz
'x,y,z'
'-x,-y,-z'
'-x+1/2,-y,z+1/2'
'x+1/2,y,-z+1/2'
'x+1/2,-y+1/2,-z+1/2'
'-x+1/2,y+1/2,z+1/2'
'-x,y+1/2,-z'
'x,-y+1/2,z'
loop_
_atom_site_label
_atom_site_type_symbol
_atom_site_fract_x
_atom_site_fract_y
_atom_site_fract_z
Tb1 Tb 0.031 0.250 0.137
Tm1 Tm 0.177 0.066 0.678
Ni1 Ni 0.110 0.750 0.442
```

Values from the calculation:
- Formation energy from the elements: -0.2653 eV per atom
- Final energy: -5.104 eV per atom
- Magnetic moment: 0.00 μB per formula unit